Compound: BaHgP2O
Source: Alexandria
Functional: PBE
Structure: optimized geometry

Formation energy (no corrections) (eV/atom): 0.65
Fermi-level density of states (states/eV/f.u.): 2.2

```
BaHgP2O
1.0
6.8347 0.0000 0.0000
0.0000 6.8347 0.0000
0.0000 0.0000 4.6652
Ba Hg P O
1 1 2 1
direct
0.0000 0.0000 0.0000 Ba
0.5000 0.5000 0.5000 Hg
0.0000 0.5000 0.0000 P
0.5000 0.0000 0.0000 P
0.0000 0.0000 0.5000 O
```